First-principles (PBE with a Hubbard U) data for Li3Mn4SnO8 after structural relaxation, as listed in the Alexandria database.

Cell lengths 6.211, 6.217, 6.242 Å; angles 60.21, 60.61, 60.55 degrees
Space group P-1 (No. 2)
Asymmetric unit:
Li  0.000  0.000  0.000 [1 per cell]
Li  0.000  0.500  0.500 [1 per cell]
Li  0.500  0.000  0.500 [1 per cell]
Mn  0.000  0.000  0.500 [1 per cell]
Mn  0.000  0.500  0.000 [1 per cell]
Mn  0.500  0.000  0.000 [1 per cell]
Mn  0.500  0.500  0.000 [1 per cell]
Sn  0.500  0.500  0.500 [1 per cell]
O  0.247  0.727  0.273 [2 per cell]
O  0.263  0.739  0.737 [2 per cell]
O  0.273  0.227  0.223 [2 per cell]
O  0.276  0.243  0.757 [2 per cell]

Values from the calculation:
- energy above the lowest structure with this stoichiometry (kcal/mol of atoms) = 0.00
- E_tot (eV/atom) = -6.691